1.
## ZrNiMo2 (PBE-GGA)

Data for a relaxed ZrNiMo2 crystal.

Summary:
Magnetic moment ... 0.0 μB/f.u.
ΔH_f (0 K) ... 0.100 eV/atom

a b c (Å): 2.7335 2.7335 8.5830
angles (deg): 90.00 90.00 90.00
Last column: nearest neighbours and their distance in Å.
Space group P4mm (No. 99)
Symmetry-distinct sites (fractional):
Zr 0.0000 0.0000 0.0000 x1  4 Zr 2.73, 4 Ni 2.84
Ni 0.5000 0.5000 0.7571 x1  4 Mo 2.61, 4 Ni 2.73, 4 Zr 2.84
Mo 0.0000 0.0000 0.5531 x1  4 Ni 2.61, 4 Mo 2.73
Mo 0.5000 0.5000 0.2863 x1  8 Mo 2.73-3.00


2.
## ZrNi2Mo (PBE-GGA)

Data for a relaxed ZrNi2Mo crystal.

Summary:
Magnetic moment ... 0.0 μB/f.u.
ΔH_f (0 K) ... 0.246 eV/atom

a b c (Å): 2.7788 2.7788 27.0341
angles (deg): 90.00 90.00 120.00
Last column: nearest neighbours and their distance in Å.
Space group R3m (No. 160, hexagonal axes)
Symmetry-distinct sites (fractional):
Zr 0.0000 0.0000 0.0000 x3  6 Zr 2.78, 3 Ni 2.80
Ni 0.0000 0.0000 0.2484 x3  9 Ni 2.53-2.78, 3 Zr 2.80
Ni 0.0000 0.0000 0.5096 x3  9 Ni 2.53-2.78, 3 Mo 2.60
Mo 0.0000 0.0000 0.7672 x3  3 Ni 2.60, 6 Mo 2.78


3.
## ZrNiMo2 (PBE-GGA)

Data for a relaxed ZrNiMo2 crystal.

Summary:
Magnetic moment ... 0.0 μB/f.u.
ΔH_f (0 K) ... 0.085 eV/atom

a b c (Å): 3.3457 4.5784 8.5082
angles (deg): 90.00 90.00 90.00
Last column: nearest neighbours and their distance in Å.
Space group Imm2 (No. 44)
Symmetry-distinct sites (fractional):
Zr 0.0000 0.0000 0.0000 x2  4 Ni 2.76-3.08, 8 Mo 2.82-3.03
Ni 0.0000 0.5000 0.2422 x2  6 Mo 2.66-2.84, 2 Zr 2.76
Mo 0.0000 0.0000 0.4994 x2  2 Mo 2.59, 2 Ni 2.66, 4 Zr 2.84
Mo 0.0000 0.5000 0.7663 x2  2 Mo 2.59, 2 Zr 2.82, 4 Ni 2.84


4.
## ZrNiMo2 (PBE-GGA)

Data for a relaxed ZrNiMo2 crystal.

Summary:
Magnetic moment ... 0.0 μB/f.u.
ΔH_f (0 K) ... 0.131 eV/atom

a b c (Å): 2.7361 2.7361 8.5667
angles (deg): 90.00 90.00 90.00
Last column: nearest neighbours and their distance in Å.
Space group P4/mmm (No. 123)
Symmetry-distinct sites (fractional):
Zr 0.0000 0.0000 0.0000 x1  4 Zr 2.74
Ni 0.0000 0.0000 0.5000 x1  8 Mo 2.66, 4 Ni 2.74
Mo 0.5000 0.5000 0.2862 x2  4 Ni 2.66, 4 Mo 2.74


5.
## ZrNiMo2 (PBE-GGA)

Data for a relaxed ZrNiMo2 crystal.

Summary:
Magnetic moment ... 0.0 μB/f.u.
ΔH_f (0 K) ... 0.356 eV/atom

a b c (Å): 2.7929 2.7929 28.9125
angles (deg): 90.00 90.00 120.00
Last column: nearest neighbours and their distance in Å.
Space group R-3m (No. 166, hexagonal axes)
Symmetry-distinct sites (fractional):
Zr 0.0000 0.0000 0.0000 x3  6 Zr 2.79
Ni 0.0000 0.0000 0.5000 x3  6 Mo 2.66, 6 Ni 2.79
Mo 0.0000 0.0000 0.2397 x6  3 Ni 2.66, 6 Mo 2.79


6.
## NpMo5 (PBE-GGA)

Data for a relaxed NpMo5 crystal.

Summary:
Magnetic moment ... 2.1 μB/f.u.
ΔH_f (0 K) ... 0.185 eV/atom

a b c (Å): 4.5879 13.7259 3.1784
angles (deg): 90.00 90.00 90.00
Last column: nearest neighbours and their distance in Å.
Space group Cmmm (No. 65)
Symmetry-distinct sites (fractional):
Np 0.0000 0.0000 0.0000 x2  8 Mo 2.79-2.80
Mo 0.0000 0.1680 0.5000 x4  6 Mo 2.68-2.79, 2 Np 2.80
Mo 0.0000 0.3254 0.0000 x4  8 Mo 2.68-2.88
Mo 0.0000 0.5000 0.5000 x2  4 Np 2.79, 4 Mo 2.88


7.
## NpMo4 (PBE-GGA)

Data for a relaxed NpMo4 crystal.

Summary:
Magnetic moment ... 1.3 μB/f.u.
ΔH_f (0 K) ... 1.709 eV/atom

a b c (Å): 4.6834 4.6834 4.6834
angles (deg): 90.00 90.00 90.00
Last column: nearest neighbours and their distance in Å.
Space group Pm-3m (No. 221)
Symmetry-distinct sites (fractional):
Np 0.0000 0.0000 0.0000 x1  6 Mo 2.34
Mo 0.0000 0.0000 0.5000 x3  2 Np 2.34
Mo 0.5000 0.5000 0.5000 x1  12 Mo 3.31